No. 1
VASP calculation (PBE-GGA) on La4Pr2NdSm after structural relaxation.

Output
E_form, kJ/mol of formula units: 9

Cell: 5.259 5.283 10.405 Å, 90.00 90.10 90.00°
Space group P2/m (No. 10)
Inequivalent atoms, fractional coordinates:
1 La 0.000 0.000 0.249 [2 per cell]
2 La 0.499 0.500 0.249 [2 per cell]
3 Pr 0.000 0.500 0.500 [1 per cell]
4 Pr 0.500 0.000 0.000 [1 per cell]
5 Nd 0.500 0.000 0.500 [1 per cell]
6 Sm 0.000 0.500 0.000 [1 per cell]

=====

No. 2
VASP calculation (PBE-GGA) on Cs2LiHgCl4 after structural relaxation.

Output
Raw formation energy, meV per atom: -1439

Cell: 6.446 14.583 24.316 Å, 90.00 90.00 90.00°
Space group Fddd (No. 70, origin choice 2)
Inequivalent atoms, fractional coordinates:
1 Cs 0.125 0.125 0.305 [16 per cell]
2 Li 0.125 0.125 0.125 [8 per cell]
3 Hg 0.125 0.125 0.625 [8 per cell]
4 Cl 0.067 0.269 0.431 [32 per cell]

=====

No. 3
VASP calculation (PBE-GGA) on ScZn2Ag2 after structural relaxation.

Output
E_form, kJ/mol of formula units: -47

Cell: 3.758 3.758 13.174 Å, 90.00 90.00 90.00°
Space group I4/mmm (No. 139)
Inequivalent atoms, fractional coordinates:
1 Sc 0.000 0.000 0.000 [2 per cell]
2 Zn 0.000 0.500 0.250 [4 per cell]
3 Ag 0.000 0.000 0.397 [4 per cell]

=====

No. 4
VASP calculation (PBE-GGA) on Cu after structural relaxation.

Output
E_form, kJ/mol of formula units: 92

Cell: 7.252 7.252 7.252 Å, 90.00 90.00 90.00°
Space group I-43m (No. 217)
Inequivalent atoms, fractional coordinates:
1 Cu 0.120 0.120 0.880 [8 per cell]
2 Cu 0.195 0.195 0.195 [8 per cell]

=====

No. 5
VASP calculation (PBE-GGA) on ScTaZn after structural relaxation.

Output
E_form, kJ/mol of formula units: 147

Cell: 6.262 6.262 6.262 Å, 90.00 90.00 90.00°
Space group F-43m (No. 216)
Inequivalent atoms, fractional coordinates:
1 Sc 0.000 0.000 0.000 [4 per cell]
2 Ta 0.000 0.000 0.500 [4 per cell]
3 Zn 0.250 0.250 0.250 [4 per cell]

=====

No. 6
VASP calculation (PBE-GGA) on SrCeMoN4 after structural relaxation.

Output
Raw formation energy, meV per atom: -903

Cell: 6.072 5.946 7.093 Å, 90.00 106.94 90.00°
Space group P2_1/m (No. 11)
Inequivalent atoms, fractional coordinates:
1 Sr 0.214 0.250 0.427 [2 per cell]
2 Ce 0.298 0.250 0.953 [2 per cell]
3 Mo 0.241 0.750 0.178 [2 per cell]
4 N 0.034 0.750 0.329 [2 per cell]
5 N 0.039 0.750 0.930 [2 per cell]
6 N 0.448 0.507 0.205 [4 per cell]

=====

No. 7
VASP calculation (PBE-GGA) on LaReBr2 after structural relaxation.

Output
Raw formation energy, meV per atom: 234

Cell: 4.673 4.673 3.989 Å, 90.00 90.00 90.00°
Space group P4/mmm (No. 123)
Inequivalent atoms, fractional coordinates:
1 La 0.000 0.000 0.000 [1 per cell]
2 Re 0.500 0.500 0.000 [1 per cell]
3 Br 0.000 0.500 0.500 [2 per cell]

=====

No. 8
VASP calculation (PBE-GGA) on Ba2Fe after structural relaxation.

Output
E_form, kJ/mol of formula units: 174

Cell: 9.226 4.473 11.807 Å, 90.00 90.00 90.00°
Space group Pnma (No. 62)
Inequivalent atoms, fractional coordinates:
1 Ba 0.016 0.250 0.181 [4 per cell]
2 Ba 0.163 0.750 0.450 [4 per cell]
3 Fe 0.177 0.250 0.666 [4 per cell]